## A
NbRu2Rh PBE relaxed; theoretical density = 10.85 g cm⁻³; volume = 60.9 Å³/f.u.
1.0
0.0000 3.1229 3.1229
3.1229 0.0000 3.1229
3.1229 3.1229 0.0000
Ru Nb Rh
2 1 1
direct
0.2500 0.2500 0.2500
0.7500 0.7500 0.7500
0.0000 0.0000 0.0000
0.5000 0.5000 0.5000

=====

## B
NbRu2Rh PBE relaxed; theoretical density = 11.10 g cm⁻³; volume = 59.5 Å³/f.u.
1.0
3.9395 0.0000 0.0000
0.0000 3.8875 0.0000
0.0000 0.0000 3.8875
Ru Nb Rh
2 1 1
direct
0.0000 0.0000 0.5000
0.0000 0.5000 0.0000
0.5000 0.0000 0.0000
0.5000 0.5000 0.5000

=====

## C
NbRu2Rh PBE relaxed; theoretical density = 10.09 g cm⁻³; volume = 65.5 Å³/f.u.
1.0
-1.9849 1.4573 -2.9110
-3.1422 -1.7490 1.2670
-4.5741 7.0797 4.1662
Ru Nb Rh
4 2 2
direct
0.6529 0.1250 0.2500
0.0971 0.6250 0.2500
0.3750 0.3471 0.7500
0.8750 0.9029 0.7500
0.5000 0.5000 0.0000
0.2500 0.7500 0.5000
0.0000 0.0000 0.0000
0.7500 0.2500 0.5000

=====

Stability ranking, top and bottom: B is the most stable and C is the least stable.

=====

## A
NbRuRh3 PBE relaxed; theoretical density = 8.22 g cm⁻³; volume = 101.5 Å³/f.u.
1.0
4.6646 0.0000 0.0000
0.0000 4.6646 0.0000
0.0000 0.0000 4.6646
Ru Nb Rh
1 1 3
direct
0.5000 0.5000 0.5000
0.0000 0.0000 0.0000
0.0000 0.5000 0.0000
0.0000 0.0000 0.5000
0.5000 0.0000 0.0000

=====

## B
NbRuRh3 PBE relaxed; theoretical density = 8.53 g cm⁻³; volume = 97.9 Å³/f.u.
1.0
4.6091 0.0000 0.0000
0.0000 4.6091 0.0000
0.0000 0.0000 4.6091
Ru Nb Rh
1 1 3
direct
0.0000 0.0000 0.0000
0.5000 0.5000 0.5000
0.0000 0.5000 0.0000
0.0000 0.0000 0.5000
0.5000 0.0000 0.0000

=====

Stability ranking, top and bottom: A is the most stable and B is the least stable.

=====

## A
NbSb3Rh PBE relaxed; theoretical density = 6.37 g cm⁻³; volume = 146.3 Å³/f.u.
1.0
-3.4731 -2.1836 3.3065
1.1697 -4.7659 -1.9186
3.7858 -0.5306 3.6262
Sb Nb Rh
3 1 1
direct
0.0000 0.5000 0.0000
0.0000 0.0000 0.5000
0.5000 0.0000 0.0000
0.0000 0.0000 0.0000
0.5000 0.5000 0.5000

=====

## B
NbSb3Rh PBE relaxed; theoretical density = 7.03 g cm⁻³; volume = 132.6 Å³/f.u.
1.0
5.0995 0.0000 0.0000
0.0000 5.0995 0.0000
0.0000 0.0000 5.0995
Sb Nb Rh
3 1 1
direct
0.0000 0.5000 0.0000
0.0000 0.0000 0.5000
0.5000 0.0000 0.0000
0.5000 0.5000 0.5000
0.0000 0.0000 0.0000

=====

Stability ranking, top and bottom: B is the most stable and A is the least stable.